A relaxed structure of Zr2InHgF. Source: Alexandria, functional GGA-PBE.

It has space group P4/mmm (No. 123), with a = 5.436 Å, b = 5.436 Å, c = 4.444 Å, α = 90.00°, β = 90.00° and γ = 90.00°. The inequivalent atoms are Zr at (0.000, 0.500, 0.000), In at (0.000, 0.000, 0.500), Hg at (0.500, 0.500, 0.000) and F at (0.500, 0.500, 0.500).

The calculation puts the total energy at -19.9 eV for the cell shown.



A relaxed structure of ZrInHgF6. Source: Alexandria, functional GGA-PBE.

It has space group Amm2 (No. 38), with a = 5.471 Å, b = 5.995 Å, c = 10.421 Å, α = 90.00°, β = 90.00° and γ = 90.00°. The inequivalent atoms are Zr at (0.000, 0.000, 0.000), In at (0.500, 0.000, 0.333), Hg at (0.000, 0.000, 0.667), F at (0.238, 0.000, 0.154) and F at (0.238, 0.231, 0.923).

The calculation puts the total energy at -92.6 eV for the cell shown.



A relaxed structure of Hg2IrF. Source: Alexandria, functional GGA-PBE.

It has space group Fm-3m (No. 225), with a = 6.527 Å, b = 6.527 Å, c = 6.527 Å, α = 90.00°, β = 90.00° and γ = 90.00°. The inequivalent atoms are Hg at (0.250, 0.250, 0.250), Ir at (0.000, 0.000, 0.000) and F at (0.000, 0.000, 0.500).

The energy above the most stable polymorph in this dataset comes out at 0 meV/atom.



A relaxed structure of HgIr2F. Source: Alexandria, functional GGA-PBE.

It has space group Fm-3m (No. 225), with a = 6.312 Å, b = 6.312 Å, c = 6.312 Å, α = 90.00°, β = 90.00° and γ = 90.00°. The inequivalent atoms are Hg at (0.000, 0.000, 0.000), Ir at (0.250, 0.250, 0.250) and F at (0.000, 0.000, 0.500).

The energy above the most stable polymorph in this dataset comes out at 469 meV/atom.



A relaxed structure of HgIrF2. Source: Alexandria, functional GGA-PBE.

It has space group R-3m (No. 166, hexagonal axes), with a = 2.8241 Å, b = 2.8241 Å, c = 26.4773 Å, α = 90.00°, β = 90.00° and γ = 120.00°. The inequivalent atoms are Hg at (0.0000, 0.0000, 0.0000), Ir at (0.0000, 0.0000, 0.5000) and F at (0.0000, 0.0000, 0.4268).

The energy above the most stable polymorph in this dataset comes out at 0 meV/atom.



A relaxed structure of HgIrF2. Source: Alexandria, functional GGA-PBE.

It has space group Fm-3m (No. 225), with a = 6.159 Å, b = 6.159 Å, c = 6.159 Å, α = 90.00°, β = 90.00° and γ = 90.00°. The inequivalent atoms are Hg at (0.000, 0.000, 0.000), Ir at (0.000, 0.000, 0.500) and F at (0.250, 0.250, 0.250).

The energy above the most stable polymorph in this dataset comes out at 875 meV/atom.



A relaxed structure of Hg2IrF6. Source: Alexandria, functional GGA-PBE.

It has space group C2/m (No. 12), with a = 10.276 Å, b = 5.356 Å, c = 5.700 Å, α = 90.00°, β = 92.02° and γ = 90.00°. The inequivalent atoms are Hg at (0.213, 0.000, 0.462), Ir at (0.000, 0.500, 0.000), F at (0.005, 0.250, 0.244) and F at (0.188, 0.500, 0.000).

The energy above the most stable polymorph in this dataset comes out at 49 meV/atom.



A relaxed structure of HgIrF2. Source: Alexandria, functional GGA-PBE.

It has space group I4_1/amd (No. 141, origin choice 2), with a = 4.429 Å, b = 4.429 Å, c = 14.430 Å, α = 90.00°, β = 90.00° and γ = 90.00°. The inequivalent atoms are Hg at (0.000, 0.250, 0.375), Ir at (0.000, 0.250, 0.875) and F at (0.000, 0.000, 0.000).

The energy above the most stable polymorph in this dataset comes out at 713 meV/atom.



A relaxed structure of HgIr2F. Source: Alexandria, functional GGA-PBE.

It has space group I-42d (No. 122), with a = 3.584 Å, b = 3.584 Å, c = 21.147 Å, α = 90.00°, β = 90.00° and γ = 90.00°. The inequivalent atoms are Hg at (0.000, 0.000, 0.000), Ir at (0.246, 0.750, 0.625) and F at (0.000, 0.000, 0.500).

The energy above the most stable polymorph in this dataset comes out at 0 meV/atom.



A relaxed structure of Hg2IrF. Source: Alexandria, functional GGA-PBE.

It has space group I-42d (No. 122), with a = 5.286 Å, b = 5.286 Å, c = 14.400 Å, α = 90.00°, β = 90.00° and γ = 90.00°. The inequivalent atoms are Hg at (0.240, 0.250, 0.125), Ir at (0.000, 0.000, 0.500) and F at (0.000, 0.000, 0.000).

The energy above the most stable polymorph in this dataset comes out at 207 meV/atom.



A relaxed structure of HgIrF5. Source: Alexandria, functional GGA-PBE.

It has space group C2/c (No. 15), with a = 14.150 Å, b = 4.304 Å, c = 9.442 Å, α = 90.00°, β = 107.14° and γ = 90.00°. The inequivalent atoms are Hg at (0.000, 0.241, 0.250), Ir at (0.250, 0.250, 0.500), F at (0.000, 0.258, 0.750), F at (0.116, 0.235, 0.513) and F at (0.188, 0.259, 0.292).

The calculation puts the total energy at -107.7 eV for the cell shown.



A relaxed structure of Hg3IrF. Source: Alexandria, functional GGA-PBE.

It has space group Pm-3m (No. 221), with a = 5.238 Å, b = 5.238 Å, c = 5.238 Å, α = 90.00°, β = 90.00° and γ = 90.00°. The inequivalent atoms are Hg at (0.000, 0.000, 0.500), Ir at (0.000, 0.000, 0.000) and F at (0.500, 0.500, 0.500).

The energy above the most stable polymorph in this dataset comes out at 0 meV/atom.



A relaxed structure of Hg2IrF6. Source: Alexandria, functional GGA-PBE.

It has space group P4_2/mnm (No. 136), with a = 6.295 Å, b = 6.295 Å, c = 9.684 Å, α = 90.00°, β = 90.00° and γ = 90.00°. The inequivalent atoms are Hg at (0.000, 0.000, 0.135), Ir at (0.000, 0.000, 0.500), F at (0.145, 0.145, 0.345) and F at (0.217, 0.783, 0.500).

The energy above the most stable polymorph in this dataset comes out at 0 meV/atom.



A relaxed structure of Hg3IrF. Source: Alexandria, functional GGA-PBE.

It has space group Pm-3m (No. 221), with a = 4.661 Å, b = 4.661 Å, c = 4.661 Å, α = 90.00°, β = 90.00° and γ = 90.00°. The inequivalent atoms are Hg at (0.000, 0.000, 0.500), Ir at (0.500, 0.500, 0.500) and F at (0.000, 0.000, 0.000).

The energy above the most stable polymorph in this dataset comes out at 377 meV/atom.



A relaxed structure of Hg2IrF8. Source: Alexandria, functional GGA-PBE.

It has space group C2/m (No. 12), with a = 9.735 Å, b = 7.694 Å, c = 4.741 Å, α = 90.00°, β = 110.36° and γ = 90.00°. The inequivalent atoms are Hg at (0.158, 0.000, 0.361), Ir at (0.000, 0.500, 0.000), F at (0.088, 0.000, 0.811), F at (0.119, 0.500, 0.748) and F at (0.139, 0.331, 0.262).

The calculation puts the total energy at -80.4 eV for the cell shown.



A relaxed structure of KHgIrF6. Source: Alexandria, functional GGA-PBE.

It has space group P-31c (No. 163), with a = 6.5004 Å, b = 6.5004 Å, c = 8.2534 Å, α = 90.00°, β = 90.00° and γ = 120.00°. The inequivalent atoms are K at (0.3333, 0.6667, 0.2500), Hg at (0.0000, 0.0000, 0.0000), Ir at (0.3333, 0.6667, 0.7500) and F at (0.0795, 0.4121, 0.6189).

The calculation puts the total energy at -73.5 eV for the cell shown.



A relaxed structure of La8Hg4Ir3F. Source: Alexandria, functional GGA-PBE.

It has space group C2/m (No. 12), with a = 14.410 Å, b = 8.328 Å, c = 9.290 Å, α = 90.00°, β = 121.05° and γ = 90.00°. The inequivalent atoms are La at (0.018, 0.244, 0.297), La at (0.235, 0.000, 0.704), La at (0.239, 0.500, 0.703), Hg at (0.000, 0.000, 0.000), Hg at (0.000, 0.500, 0.000), Hg at (0.250, 0.250, 0.000), Ir at (0.000, 0.000, 0.500), Ir at (0.250, 0.250, 0.500) and F at (0.000, 0.500, 0.500).

The calculation puts the total energy at -165.6 eV for the cell shown.



A relaxed structure of HgIrNF2. Source: Alexandria, functional GGA-PBE.

It has space group P4/mmm (No. 123), with a = 4.443 Å, b = 4.443 Å, c = 3.730 Å, α = 90.00°, β = 90.00° and γ = 90.00°. The inequivalent atoms are Hg at (0.000, 0.000, 0.000), Ir at (0.500, 0.500, 0.500), N at (0.500, 0.500, 0.000) and F at (0.000, 0.500, 0.500).

The energy above the most stable polymorph in this dataset comes out at 0 meV/atom.



A relaxed structure of HgIrNF2. Source: Alexandria, functional GGA-PBE.

It has space group P4/mmm (No. 123), with a = 4.488 Å, b = 4.488 Å, c = 4.195 Å, α = 90.00°, β = 90.00° and γ = 90.00°. The inequivalent atoms are Hg at (0.000, 0.000, 0.000), Ir at (0.500, 0.500, 0.500), N at (0.000, 0.000, 0.500) and F at (0.000, 0.500, 0.000).

The energy above the most stable polymorph in this dataset comes out at 1417 meV/atom.



A relaxed structure of NaHgIrF6. Source: Alexandria, functional GGA-PBE.

It has space group P-31c (No. 163), with a = 5.7071 Å, b = 5.7071 Å, c = 9.6564 Å, α = 90.00°, β = 90.00° and γ = 120.00°. The inequivalent atoms are Na at (0.3333, 0.6667, 0.2500), Hg at (0.0000, 0.0000, 0.0000), Ir at (0.3333, 0.6667, 0.7500) and F at (0.0363, 0.3776, 0.6334).

The calculation puts the total energy at -74.1 eV for the cell shown.



A relaxed structure of HgIrOF2. Source: Alexandria, functional GGA-PBE.

It has space group P4/mmm (No. 123), with a = 4.467 Å, b = 4.467 Å, c = 4.238 Å, α = 90.00°, β = 90.00° and γ = 90.00°. The inequivalent atoms are Hg at (0.000, 0.000, 0.000), Ir at (0.500, 0.500, 0.500), O at (0.000, 0.000, 0.500) and F at (0.000, 0.500, 0.000).

The energy above the most stable polymorph in this dataset comes out at 1140 meV/atom.



A relaxed structure of HgIrOF2. Source: Alexandria, functional GGA-PBE.

It has space group P4/mmm (No. 123), with a = 4.490 Å, b = 4.490 Å, c = 3.726 Å, α = 90.00°, β = 90.00° and γ = 90.00°. The inequivalent atoms are Hg at (0.000, 0.000, 0.000), Ir at (0.500, 0.500, 0.500), O at (0.500, 0.500, 0.000) and F at (0.000, 0.500, 0.500).

The energy above the most stable polymorph in this dataset comes out at 0 meV/atom.



A relaxed structure of Hg2IrO2F4. Source: Alexandria, functional GGA-PBE.

It has space group C2/m (No. 12), with a = 10.552 Å, b = 6.113 Å, c = 5.713 Å, α = 90.00°, β = 118.67° and γ = 90.00°. The inequivalent atoms are Hg at (0.128, 0.000, 0.215), Ir at (0.000, 0.500, 0.500), O at (0.155, 0.500, 0.439) and F at (0.095, 0.272, 0.769).

The calculation puts the total energy at -72.1 eV for the cell shown.



A relaxed structure of Rb2HgIrF6. Source: Alexandria, functional GGA-PBE.

It has space group Fm-3m (No. 225), with a = 9.685 Å, b = 9.685 Å, c = 9.685 Å, α = 90.00°, β = 90.00° and γ = 90.00°. The inequivalent atoms are Rb at (0.250, 0.250, 0.250), Hg at (0.000, 0.000, 0.000), Ir at (0.000, 0.000, 0.500) and F at (0.000, 0.000, 0.296).

The calculation puts the total energy at -164.6 eV for the cell shown.